# 1
A geometry-optimized ZrAlPO structure. Source: the Open Quantum Materials Database, functional GGA-PBE.

a = 3.7808 Å, b = 6.6126 Å, c = 5.2703 Å
α = 90.00°, β = 90.00°, γ = 90.00°
Closest atoms and distances in Å follow each position.
Atoms (fractional coordinates):
Zr: 0.0000 0.1505 0.0000  2 O 2.30
Zr: 0.0000 0.8495 0.5000  2 O 2.30
Al: 0.5000 0.4044 0.6388  2 O 1.84-1.85
Al: 0.5000 0.5956 0.1388  2 O 1.84-1.85
P: 0.0000 0.2393 0.4915  2 Al 2.32, 1 Zr 2.58
P: 0.0000 0.7607 0.9915  2 Al 2.32, 1 Zr 2.58
O: 0.5000 0.3476 0.9825  2 Al 1.84-1.85
O: 0.5000 0.6524 0.4825  2 Al 1.84-1.85

Calculated values
Distance to the lowest polymorph of the same formula in eV per atom: 0.054
Magnetization in Bohr magnetons per cell: 0.020
Total energy in eV per cell: -56.8



# 2
A geometry-optimized ZrAlPO structure. Source: the Open Quantum Materials Database, functional GGA-PBE.

a = 3.6040 Å, b = 5.1661 Å, c = 6.2964 Å
α = 90.00°, β = 90.00°, γ = 90.00°
Closest atoms and distances in Å follow each position.
Atoms (fractional coordinates):
Zr: 0.0000 0.1075 0.0000  2 O 2.25-2.39
Zr: 0.0000 0.8925 0.5000  2 O 2.25-2.39
Al: 0.5000 0.3787 0.3333  2 O 1.85
Al: 0.5000 0.6213 0.8333  2 O 1.85
P: 0.5000 0.1791 0.6951  2 Al 2.44-2.50, 4 Zr 2.64-2.66
P: 0.5000 0.8209 0.1951  2 Al 2.44-2.50, 4 Zr 2.64-2.66
O: 0.0000 0.3000 0.3200  2 Al 1.85
O: 0.0000 0.7000 0.8200  2 Al 1.85

Calculated values
Distance to the lowest polymorph of the same formula in eV per atom: 0.000
Magnetization in Bohr magnetons per cell: 0.001
Total energy in eV per cell: -57.2



# 3
A geometry-optimized ZrAlPO structure. Source: the Open Quantum Materials Database, functional GGA-PBE.

a = 3.6489 Å, b = 3.6489 Å, c = 8.6521 Å
α = 90.00°, β = 90.00°, γ = 90.00°
Closest atoms and distances in Å follow each position.
Atoms (fractional coordinates):
Zr: 0.2500 0.2500 0.1441  4 O 2.21
Zr: 0.7500 0.7500 0.8559  4 O 2.21
Al: 0.2500 0.7500 0.5000  4 P 2.56, 4 Al 2.58
Al: 0.7500 0.2500 0.5000  4 P 2.56, 4 Al 2.58
P: 0.2500 0.2500 0.7074  4 Al 2.56
P: 0.7500 0.7500 0.2926  4 Al 2.56
O: 0.2500 0.7500 0.0000  4 Zr 2.21
O: 0.7500 0.2500 0.0000  4 Zr 2.21

Calculated values
Distance to the lowest polymorph of the same formula in eV per atom: 0.170
Magnetization in Bohr magnetons per cell: 0.009
Total energy in eV per cell: -55.8



# 4
A geometry-optimized PaAlO3 structure. Source: the Open Quantum Materials Database, functional GGA-PBE.

a = 6.0393 Å, b = 6.0393 Å, c = 6.0393 Å
α = 51.52°, β = 51.52°, γ = 51.52°
Closest atoms and distances in Å follow each position.
Atoms (fractional coordinates):
Pa: 0.1352 0.1352 0.1352  6 O 2.30-2.57
Pa: 0.8648 0.8648 0.8648  6 O 2.30-2.57
Al: 0.3413 0.3413 0.3413  6 O 1.91-1.99
Al: 0.6587 0.6587 0.6587  6 O 1.91-1.99
O: 0.0614 0.4646 0.6810  2 Al 1.91-1.99
O: 0.3190 0.9386 0.5354  2 Al 1.91-1.99
O: 0.4646 0.6810 0.0614  2 Al 1.91-1.99
O: 0.5354 0.3190 0.9386  2 Al 1.91-1.99
O: 0.6810 0.0614 0.4646  2 Al 1.91-1.99
O: 0.9386 0.5354 0.3190  2 Al 1.91-1.99

Calculated values
Magnetization in Bohr magnetons per cell: 4.000
Total energy in eV per cell: -80.2



# 5
A geometry-optimized PaAlO3 structure. Source: the Open Quantum Materials Database, functional GGA-PBE.

a = 3.7394 Å, b = 3.7394 Å, c = 3.8877 Å
α = 90.00°, β = 90.00°, γ = 90.00°
Closest atoms and distances in Å follow each position.
Atoms (fractional coordinates):
Pa: 0.0000 0.0000 0.0000  12 O 2.64-2.70
Al: 0.5000 0.5000 0.5000  6 O 1.87-1.94
O: 0.0000 0.5000 0.5000  2 Al 1.87
O: 0.5000 0.0000 0.5000  2 Al 1.87
O: 0.5000 0.5000 0.0000  2 Al 1.94

Calculated values
Magnetization in Bohr magnetons per cell: 2.000
Total energy in eV per cell: -41.0



# 6
A geometry-optimized PaAlO3 structure. Source: the Open Quantum Materials Database, functional GGA-PBE.

a = 5.3827 Å, b = 7.5507 Å, c = 5.3882 Å
α = 90.00°, β = 90.00°, γ = 90.00°
Closest atoms and distances in Å follow each position.
Atoms (fractional coordinates):
Pa: 0.9998 0.2500 0.0000  12 O 2.66-2.73
Pa: 0.0002 0.7500 0.0000  12 O 2.66-2.73
Pa: 0.4998 0.2500 0.5000  12 O 2.66-2.73
Pa: 0.5002 0.7500 0.5000  12 O 2.66-2.73
Al: 0.0000 0.0000 0.5000  6 O 1.89-1.90
Al: 0.0000 0.5000 0.5000  6 O 1.89-1.90
Al: 0.5000 0.0000 0.0000  6 O 1.89-1.90
Al: 0.5000 0.5000 0.0000  6 O 1.89-1.90
O: 0.0001 0.2500 0.4940  2 Al 1.89
O: 0.9999 0.7500 0.5060  2 Al 1.89
O: 0.2486 0.0032 0.7513  2 Al 1.90
O: 0.2486 0.4968 0.7513  2 Al 1.90
O: 0.2514 0.5032 0.2513  2 Al 1.90
O: 0.2514 0.9968 0.2513  2 Al 1.90
O: 0.5001 0.2500 0.0060  2 Al 1.89
O: 0.4999 0.7500 0.9940  2 Al 1.89
O: 0.7486 0.0032 0.7487  2 Al 1.90
O: 0.7486 0.4968 0.7487  2 Al 1.90
O: 0.7514 0.5032 0.2487  2 Al 1.90
O: 0.7514 0.9968 0.2487  2 Al 1.90

Calculated values
Magnetization in Bohr magnetons per cell: 8.000
Total energy in eV per cell: -164.0



# 7
A geometry-optimized PaAlO3 structure. Source: the Open Quantum Materials Database, functional GGA-PBE.

a = 5.3710 Å, b = 5.3710 Å, c = 5.3710 Å
α = 59.59°, β = 59.59°, γ = 59.59°
Closest atoms and distances in Å follow each position.
Atoms (fractional coordinates):
Pa: 0.2500 0.2500 0.2500  12 O 2.64-2.70
Pa: 0.7500 0.7500 0.7500  12 O 2.64-2.70
Al: 0.0000 0.0000 0.0000  6 O 1.89
Al: 0.5000 0.5000 0.5000  6 O 1.89
O: 0.2449 0.7500 0.2551  2 Al 1.89
O: 0.2500 0.7449 0.7551  2 Al 1.89
O: 0.2551 0.2449 0.7500  2 Al 1.89
O: 0.7449 0.7551 0.2500  2 Al 1.89
O: 0.7500 0.2551 0.2449  2 Al 1.89
O: 0.7551 0.2500 0.7449  2 Al 1.89

Calculated values
Magnetization in Bohr magnetons per cell: 4.000
Total energy in eV per cell: -81.9



# 8
A geometry-optimized Pa2AlO4 structure. Source: the Open Quantum Materials Database, functional GGA-PBE.

a = 7.3021 Å, b = 7.3021 Å, c = 7.3021 Å
α = 60.00°, β = 60.00°, γ = 60.00°
Closest atoms and distances in Å follow each position.
Atoms (fractional coordinates):
Pa: 0.0000 0.0000 0.0000  6 O 2.33
Pa: 0.0000 0.0000 0.5000  6 O 2.33
Pa: 0.0000 0.5000 0.0000  6 O 2.33
Pa: 0.5000 0.0000 0.0000  6 O 2.33
Al: 0.3750 0.3750 0.3750  4 O 2.73
Al: 0.6250 0.6250 0.6250  4 O 2.73
O: 0.1679 0.7774 0.7774  3 Pa 2.33
O: 0.2226 0.2226 0.2226  3 Pa 2.33
O: 0.2226 0.2226 0.8321  3 Pa 2.33
O: 0.2226 0.8321 0.2226  3 Pa 2.33
O: 0.7774 0.1679 0.7774  3 Pa 2.33
O: 0.7774 0.7774 0.1679  3 Pa 2.33
O: 0.7774 0.7774 0.7774  3 Pa 2.33
O: 0.8321 0.2226 0.2226  3 Pa 2.33

Calculated values
Magnetization in Bohr magnetons per cell: 6.000
Total energy in eV per cell: -111.8



# 9
A geometry-optimized PmAlO3 structure. Source: the Open Quantum Materials Database, functional GGA-PBE.

a = 5.7919 Å, b = 5.7919 Å, c = 5.7919 Å
α = 54.20°, β = 54.20°, γ = 54.20°
Closest atoms and distances in Å follow each position.
Atoms (fractional coordinates):
Pm: 0.1270 0.1270 0.1270  6 O 2.24-2.50
Pm: 0.8730 0.8730 0.8730  6 O 2.24-2.50
Al: 0.3425 0.3425 0.3425  6 O 1.92-1.99
Al: 0.6575 0.6575 0.6575  6 O 1.92-1.99
O: 0.0623 0.4779 0.6819  2 Al 1.92-1.99
O: 0.3181 0.9377 0.5221  2 Al 1.92-1.99
O: 0.4779 0.6819 0.0623  2 Al 1.92-1.99
O: 0.5221 0.3181 0.9377  2 Al 1.92-1.99
O: 0.6819 0.0623 0.4779  2 Al 1.92-1.99
O: 0.9377 0.5221 0.3181  2 Al 1.92-1.99

Calculated values
Magnetization in Bohr magnetons per cell: 0.000
Total energy in eV per cell: -77.2



# 10
A geometry-optimized Pm2Al2O5 structure. Source: the Open Quantum Materials Database, functional GGA-PBE.

a = 3.7472 Å, b = 3.7472 Å, c = 7.2122 Å
α = 90.00°, β = 90.00°, γ = 90.00°
Closest atoms and distances in Å follow each position.
Atoms (fractional coordinates):
Pm: 0.0000 0.0000 0.0000  8 O 2.58
Pm: 0.0000 0.0000 0.5000  12 O 2.62-2.65
Al: 0.5000 0.5000 0.2385  5 O 1.87-1.89
Al: 0.5000 0.5000 0.7615  5 O 1.87-1.89
O: 0.0000 0.5000 0.2454  2 Al 1.87
O: 0.0000 0.5000 0.7546  2 Al 1.87
O: 0.5000 0.0000 0.2454  2 Al 1.87
O: 0.5000 0.0000 0.7546  2 Al 1.87
O: 0.5000 0.5000 0.5000  2 Al 1.89

Calculated values
Distance to the lowest polymorph of the same formula in eV per atom: 0.000
Magnetization in Bohr magnetons per cell: 0.000
Total energy in eV per cell: -68.1